AcAg2MoO8: optimized geometry, GGA+U.

Unit cell a=5.270 b=5.270 c=6.877 alpha=90.00 beta=90.00 gamma=120.00
Sites, in units of the cell vectors:
Ac 0.000 0.000 0.000
Ag 0.333 0.667 0.355
Ag 0.667 0.333 0.645
Mo 0.000 0.000 0.500
O 0.165 0.331 0.676
O 0.165 0.835 0.676
O 0.331 0.165 0.324
O 0.333 0.667 0.054
O 0.667 0.333 0.946
O 0.669 0.835 0.676
O 0.835 0.165 0.324
O 0.835 0.669 0.324

Computed properties:
total energy	-5.434	eV/atom